No. 1
Here is a relaxed structure of CrInSe2 from Alexandria via LeMat-Bulk. Energies are from PBE.

Output
formation energy without anion corrections: -0.136 eV/f.u.
magnetic moment: 8.452 Bohr magnetons per cell
density of states at the Fermi level: 0.613 states/eV/atom
mass density: 5.069 g cm⁻³

a b c (Å): 7.737 7.475 4.192
angles (deg): 90.00 118.65 90.00
Space group C2/m (No. 12)
Unique sites:
Cr (0.000, 0.000, 0.000) [2 per cell]
In (0.000, 0.500, 0.000) [2 per cell]
Se (0.250, 0.250, 0.000) [4 per cell]

---

No. 2
Here is a relaxed structure of CrIn2Se from Alexandria via LeMat-Bulk. Energies are from PBE.

Output
formation energy without anion corrections: 0.287 eV/f.u.
magnetic moment: 4.297 Bohr magnetons per cell
density of states at the Fermi level: 0.655 states/eV/atom
mass density: 6.681 g cm⁻³

a b c (Å): 3.130 4.766 12.018
angles (deg): 90.00 90.00 90.00
Space group Imm2 (No. 44)
Unique sites:
Cr (0.000, 0.000, 0.000) [2 per cell]
In (0.000, 0.000, 0.524) [2 per cell]
In (0.000, 0.500, 0.706) [2 per cell]
Se (0.000, 0.500, 0.346) [2 per cell]

---

No. 3
Here is a relaxed structure of CrInSe2 from Alexandria via LeMat-Bulk. Energies are from PBE.

Output
formation energy without anion corrections: 0.225 eV/f.u.
magnetic moment: 1.592 Bohr magnetons per cell
density of states at the Fermi level: 0.465 states/eV/atom
mass density: 6.476 g cm⁻³

a b c (Å): 3.041 3.041 9.002
angles (deg): 90.00 90.00 90.00
Space group P4mm (No. 99)
Unique sites:
Cr (0.000, 0.000, 0.000) [1 per cell]
In (0.500, 0.500, 0.226) [1 per cell]
Se (0.000, 0.000, 0.500) [1 per cell]
Se (0.500, 0.500, 0.862) [1 per cell]